# Na2CdTe PBE relaxed
data_Na2CdTe
_symmetry_space_group_name_H-M 'P 4/m m m'
_symmetry_Int_Tables_number 123
_symmetry_space_group_name_Hall '-P 4 2'
_cell_length_a 5.022
_cell_length_b 5.022
_cell_length_c 4.327
_cell_angle_alpha 90.00
_cell_angle_beta 90.00
_cell_angle_gamma 90.00
loop_
_atom_site_label
_atom_site_fract_x
_atom_site_fract_y
_atom_site_fract_z
Na1 0.000 0.500 0.000
Cd1 0.000 0.000 0.500
Te1 0.500 0.500 0.500
# Raw formation energy   -175 kJ/mol of formula units
# Crystal system   tetragonal
# Polymorph energy (0 for the lowest one)   0.060 eV per atom
# DFT total energy   -2.13 eV/atom
# DOS(E_F)   1.09 states/eV per cell

# ZnCd2Ir PBE relaxed
data_ZnCd2Ir
_symmetry_space_group_name_H-M 'C 1 m 1'
_symmetry_Int_Tables_number 8
_cell_length_a 10.414
_cell_length_b 3.179
_cell_length_c 4.669
_cell_angle_alpha 90.00
_cell_angle_beta 113.72
_cell_angle_gamma 90.00
loop_
_symmetry_equiv_pos_as_xyz
'x,y,z'
'x,-y,z'
'x+1/2,y+1/2,z'
'x+1/2,-y+1/2,z'
loop_
_atom_site_label
_atom_site_fract_x
_atom_site_fract_y
_atom_site_fract_z
Zn1 0.000 0.000 0.000
Cd1 0.045 0.500 0.539
Cd2 0.265 0.500 0.205
Ir1 0.295 0.000 0.725
# DFT formation energy   0.2 eV/f.u.
# Crystal system   monoclinic
# DFT total energy   -2.95 eV/atom
# DOS(E_F)   2.80 states/eV per cell

# PmNd2Co PBE relaxed
data_PmNd2Co
_symmetry_space_group_name_H-M 'R 3 m'
_symmetry_Int_Tables_number 160
_symmetry_space_group_name_Hall 'R 3 -2"'
_cell_length_a 3.8710
_cell_length_b 3.8710
_cell_length_c 27.8859
_cell_angle_alpha 90.00
_cell_angle_beta 90.00
_cell_angle_gamma 120.00
loop_
_atom_site_label
_atom_site_fract_x
_atom_site_fract_y
_atom_site_fract_z
Pm1 0.0000 0.0000 0.0000
Nd1 0.0000 0.0000 0.2245
Nd2 0.0000 0.0000 0.4440
Co1 0.0000 0.0000 0.8345
# DFT formation energy   0.2 eV/f.u.
# Crystal system   trigonal
# Polymorph energy (0 for the lowest one)   0.127 eV per atom
# DFT total energy   -5.29 eV/atom
# DOS(E_F)   15.48 states/eV per cell

# YAl12Ni6 PBE relaxed
data_YAl12Ni6
_symmetry_space_group_name_H-M 'R -3 m'
_symmetry_Int_Tables_number 166
_symmetry_space_group_name_Hall '-R 3 2"'
_cell_length_a 10.9406
_cell_length_b 10.9406
_cell_length_c 8.3759
_cell_angle_alpha 90.00
_cell_angle_beta 90.00
_cell_angle_gamma 120.00
loop_
_atom_site_label
_atom_site_fract_x
_atom_site_fract_y
_atom_site_fract_z
Y1 0.0000 0.0000 0.0000
Al1 0.0000 0.3817 0.5000
Al2 0.0860 0.1720 0.3275
Ni1 0.0473 0.5236 0.2501
# DFT formation energy   -8.4 eV/f.u.
# Crystal system   trigonal
# DFT total energy   -4.97 eV/atom
# DOS(E_F)   20.48 states/eV per cell

# TlSn3C PBE relaxed
data_TlSn3C
_symmetry_space_group_name_H-M 'P m -3 m'
_symmetry_Int_Tables_number 221
_symmetry_space_group_name_Hall '-P 4 2 3'
_cell_length_a 4.901
_cell_length_b 4.901
_cell_length_c 4.901
_cell_angle_alpha 90.00
_cell_angle_beta 90.00
_cell_angle_gamma 90.00
loop_
_atom_site_label
_atom_site_fract_x
_atom_site_fract_y
_atom_site_fract_z
Tl1 0.000 0.000 0.000
Sn1 0.000 0.500 0.500
C1 0.500 0.500 0.500
# DFT formation energy   4.0 eV/f.u.
# Crystal system   cubic
# Polymorph energy (0 for the lowest one)   0.000 eV per atom
# DFT total energy   -3.92 eV/atom
# DOS(E_F)   2.89 states/eV per cell

# Ca2HoPaS6 PBE relaxed
data_Ca2HoPaS6
_symmetry_space_group_name_H-M 'R 3'
_symmetry_Int_Tables_number 146
_symmetry_space_group_name_Hall 'R 3'
_cell_length_a 6.9822
_cell_length_b 6.9822
_cell_length_c 18.4865
_cell_angle_alpha 90.00
_cell_angle_beta 90.00
_cell_angle_gamma 120.00
loop_
_atom_site_label
_atom_site_fract_x
_atom_site_fract_y
_atom_site_fract_z
Ca1 0.0000 0.0000 0.0000
Ca2 0.0000 0.0000 0.4962
Ho1 0.0000 0.0000 0.2029
Pa1 0.0000 0.0000 0.6992
S1 0.0503 0.3456 0.7739
S2 0.0514 0.6928 0.2752
# Raw formation energy   -1832 kJ/mol of formula units
# Crystal system   trigonal
# DFT total energy   -6.18 eV/atom
# DOS(E_F)   0.00 states/eV per cell

# TbHo12Co6 PBE relaxed
data_TbHo12Co6
_symmetry_space_group_name_H-M 'I m -3'
_symmetry_Int_Tables_number 204
_symmetry_space_group_name_Hall '-I 2 2 3'
_cell_length_a 9.717
_cell_length_b 9.717
_cell_length_c 9.717
_cell_angle_alpha 90.00
_cell_angle_beta 90.00
_cell_angle_gamma 90.00
loop_
_atom_site_label
_atom_site_fract_x
_atom_site_fract_y
_atom_site_fract_z
Tb1 0.000 0.000 0.000
Ho1 0.000 0.309 0.194
Co1 0.000 0.114 0.500
# DFT formation energy   -2.8 eV/f.u.
# Crystal system   cubic
# DFT total energy   -5.52 eV/atom
# DOS(E_F)   31.87 states/eV per cell

# FeSbW PBE relaxed
data_FeSbW
_symmetry_space_group_name_H-M 'F -4 3 m'
_symmetry_Int_Tables_number 216
_symmetry_space_group_name_Hall 'F -4 2 3'
_cell_length_a 5.896
_cell_length_b 5.896
_cell_length_c 5.896
_cell_angle_alpha 90.00
_cell_angle_beta 90.00
_cell_angle_gamma 90.00
loop_
_atom_site_label
_atom_site_fract_x
_atom_site_fract_y
_atom_site_fract_z
Fe1 0.000 0.000 0.000
Sb1 0.250 0.250 0.250
W1 0.250 0.250 0.750
# Raw formation energy   74 kJ/mol of formula units
# Crystal system   cubic
# Polymorph energy (0 for the lowest one)   0.000 eV per atom
# DFT total energy   -8.26 eV/atom
# DOS(E_F)   15.69 states/eV per cell

# Mn5AlRh6 PBE relaxed
data_Mn5AlRh6
_symmetry_space_group_name_H-M 'I m m m'
_symmetry_Int_Tables_number 71
_symmetry_space_group_name_Hall '-I 2 2'
_cell_length_a 4.286
_cell_length_b 6.061
_cell_length_c 12.853
_cell_angle_alpha 90.00
_cell_angle_beta 90.00
_cell_angle_gamma 90.00
loop_
_atom_site_label
_atom_site_fract_x
_atom_site_fract_y
_atom_site_fract_z
Mn1 0.000 0.000 0.000
Mn2 0.000 0.000 0.334
Mn3 0.000 0.500 0.334
Al1 0.000 0.500 0.000
Rh1 0.000 0.248 0.500
Rh2 0.000 0.251 0.167
# DFT formation energy   -4.1 eV/f.u.
# Crystal system   orthorhombic
# DFT total energy   -8.15 eV/atom
# DOS(E_F)   18.15 states/eV per cell

# MnAlPdPt PBE relaxed
data_MnAlPdPt
_symmetry_space_group_name_H-M 'F -4 3 m'
_symmetry_Int_Tables_number 216
_symmetry_space_group_name_Hall 'F -4 2 3'
_cell_length_a 6.181
_cell_length_b 6.181
_cell_length_c 6.181
_cell_angle_alpha 90.00
_cell_angle_beta 90.00
_cell_angle_gamma 90.00
loop_
_atom_site_label
_atom_site_fract_x
_atom_site_fract_y
_atom_site_fract_z
Mn1 0.000 0.000 0.000
Al1 0.000 0.000 0.500
Pd1 0.250 0.250 0.750
Pt1 0.250 0.250 0.250
# DFT formation energy   -2.7 eV/f.u.
# Crystal system   cubic
# DFT total energy   -6.70 eV/atom
# DOS(E_F)   8.26 states/eV per cell

# Dy3Bi PBE relaxed
data_Dy3Bi
_symmetry_space_group_name_H-M 'P 1 21/m 1'
_symmetry_Int_Tables_number 11
_cell_length_a 6.607
_cell_length_b 4.056
_cell_length_c 9.496
_cell_angle_alpha 90.00
_cell_angle_beta 100.51
_cell_angle_gamma 90.00
loop_
_symmetry_equiv_pos_as_xyz
'x,y,z'
'-x,-y,-z'
'-x,y+1/2,-z'
'x,-y+1/2,z'
loop_
_atom_site_label
_atom_site_fract_x
_atom_site_fract_y
_atom_site_fract_z
Dy1 0.091 0.250 0.372
Dy2 0.229 0.250 0.907
Dy3 0.408 0.750 0.636
Bi1 0.286 0.750 0.161
# DFT formation energy   -1.4 eV/f.u.
# Crystal system   monoclinic
# DFT total energy   -4.77 eV/atom
# DOS(E_F)   9.41 states/eV per cell

# Ta2Be2Co PBE relaxed
data_Ta2Be2Co
_symmetry_space_group_name_H-M 'P 4/m b m'
_symmetry_Int_Tables_number 127
_symmetry_space_group_name_Hall '-P 4 2ab'
_cell_length_a 5.984
_cell_length_b 5.984
_cell_length_c 3.468
_cell_angle_alpha 90.00
_cell_angle_beta 90.00
_cell_angle_gamma 90.00
loop_
_atom_site_label
_atom_site_fract_x
_atom_site_fract_y
_atom_site_fract_z
Ta1 0.175 0.325 0.000
Be1 0.125 0.625 0.500
Co1 0.000 0.000 0.500
# DFT formation energy   -1.2 eV/f.u.
# Crystal system   tetragonal
# Polymorph energy (0 for the lowest one)   0.000 eV per atom
# DFT total energy   -7.90 eV/atom
# DOS(E_F)   6.59 states/eV per cell

# SrHg2Pb3 PBE relaxed
data_SrHg2Pb3
_symmetry_space_group_name_H-M 'I m m m'
_symmetry_Int_Tables_number 71
_symmetry_space_group_name_Hall '-I 2 2'
_cell_length_a 4.866
_cell_length_b 10.164
_cell_length_c 15.189
_cell_angle_alpha 90.00
_cell_angle_beta 90.00
_cell_angle_gamma 90.00
loop_
_atom_site_label
_atom_site_fract_x
_atom_site_fract_y
_atom_site_fract_z
Sr1 0.000 0.000 0.136
Hg1 0.000 0.358 0.500
Hg2 0.000 0.500 0.200
Pb1 0.000 0.208 0.325
Pb2 0.000 0.336 0.000
# DFT formation energy   -1.3 eV/f.u.
# Crystal system   orthorhombic
# DFT total energy   -2.45 eV/atom
# DOS(E_F)   13.82 states/eV per cell

# Ac2PrSn2 PBE relaxed
data_Ac2PrSn2
_symmetry_space_group_name_H-M 'P 4/m b m'
_symmetry_Int_Tables_number 127
_symmetry_space_group_name_Hall '-P 4 2ab'
_cell_length_a 8.556
_cell_length_b 8.556
_cell_length_c 4.892
_cell_angle_alpha 90.00
_cell_angle_beta 90.00
_cell_angle_gamma 90.00
loop_
_atom_site_label
_atom_site_fract_x
_atom_site_fract_y
_atom_site_fract_z
Ac1 0.173 0.327 0.000
Pr1 0.000 0.000 0.500
Sn1 0.127 0.627 0.500
# DFT formation energy   -3.3 eV/f.u.
# Crystal system   tetragonal
# Polymorph energy (0 for the lowest one)   0.000 eV per atom
# DFT total energy   -4.87 eV/atom
# DOS(E_F)   11.47 states/eV per cell

# RbMnCu2Sb PBE relaxed
data_RbMnCu2Sb
_symmetry_space_group_name_H-M 'P 4/m m m'
_symmetry_Int_Tables_number 123
_symmetry_space_group_name_Hall '-P 4 2'
_cell_length_a 4.986
_cell_length_b 4.986
_cell_length_c 4.729
_cell_angle_alpha 90.00
_cell_angle_beta 90.00
_cell_angle_gamma 90.00
loop_
_atom_site_label
_atom_site_fract_x
_atom_site_fract_y
_atom_site_fract_z
Rb1 0.000 0.000 0.000
Mn1 0.000 0.000 0.500
Cu1 0.000 0.500 0.000
Sb1 0.500 0.500 0.500
# Raw formation energy   1044 kJ/mol of formula units
# Crystal system   tetragonal
# DFT total energy   -2.33 eV/atom
# DOS(E_F)   6.69 states/eV per cell

# Sm4Y3Ho4 PBE relaxed
data_Sm4Y3Ho4
_symmetry_space_group_name_H-M 'I m m m'
_symmetry_Int_Tables_number 71
_symmetry_space_group_name_Hall '-I 2 2'
_cell_length_a 3.574
_cell_length_b 5.054
_cell_length_c 39.338
_cell_angle_alpha 90.00
_cell_angle_beta 90.00
_cell_angle_gamma 90.00
loop_
_atom_site_label
_atom_site_fract_x
_atom_site_fract_y
_atom_site_fract_z
Sm1 0.000 0.000 0.046
Sm2 0.000 0.000 0.318
Y1 0.000 0.000 0.136
Y2 0.000 0.000 0.500
Ho1 0.000 0.000 0.228
Ho2 0.000 0.000 0.409
# DFT formation energy   0.2 eV/f.u.
# Crystal system   orthorhombic
# Polymorph energy (0 for the lowest one)   0.000 eV per atom
# DFT total energy   -5.12 eV/atom
# DOS(E_F)   28.07 states/eV per cell

# Tb5NdHo6 PBE relaxed
data_Tb5NdHo6
_symmetry_space_group_name_H-M 'C 1 2/m 1'
_symmetry_Int_Tables_number 12
_cell_length_a 6.154
_cell_length_b 10.651
_cell_length_c 11.754
_cell_angle_alpha 90.00
_cell_angle_beta 100.00
_cell_angle_gamma 90.00
loop_
_symmetry_equiv_pos_as_xyz
'x,y,z'
'-x,-y,-z'
'-x,y,-z'
'x,-y,z'
'x+1/2,y+1/2,z'
'-x+1/2,-y+1/2,-z'
'-x+1/2,y+1/2,-z'
'x+1/2,-y+1/2,z'
loop_
_atom_site_label
_atom_site_fract_x
_atom_site_fract_y
_atom_site_fract_z
Tb1 0.000 0.000 0.000
Tb2 0.000 0.167 0.500
Tb3 0.000 0.333 0.000
Nd1 0.000 0.500 0.500
Ho1 0.250 0.000 0.751
Ho2 0.250 0.167 0.249
# DFT formation energy   0.2 eV/f.u.
# Crystal system   monoclinic
# Polymorph energy (0 for the lowest one)   0.000 eV per atom
# DFT total energy   -4.60 eV/atom
# DOS(E_F)   30.49 states/eV per cell

# ErPaAl2 PBE relaxed
data_ErPaAl2
_symmetry_space_group_name_H-M 'P 4/m m m'
_symmetry_Int_Tables_number 123
_symmetry_space_group_name_Hall '-P 4 2'
_cell_length_a 3.235
_cell_length_b 3.235
_cell_length_c 8.472
_cell_angle_alpha 90.00
_cell_angle_beta 90.00
_cell_angle_gamma 90.00
loop_
_atom_site_label
_atom_site_fract_x
_atom_site_fract_y
_atom_site_fract_z
Er1 0.000 0.000 0.000
Pa1 0.000 0.000 0.500
Al1 0.500 0.500 0.248
# DFT formation energy   -1.0 eV/f.u.
# Crystal system   tetragonal
# Polymorph energy (0 for the lowest one)   0.000 eV per atom
# DFT total energy   -5.63 eV/atom
# DOS(E_F)   4.42 states/eV per cell

# VAs PBE relaxed
data_VAs
_symmetry_space_group_name_H-M 'P 63/m'
_symmetry_Int_Tables_number 176
_symmetry_space_group_name_Hall '-P 6c'
_cell_length_a 8.7431
_cell_length_b 8.7431
_cell_length_c 3.6750
_cell_angle_alpha 90.00
_cell_angle_beta 90.00
_cell_angle_gamma 120.00
loop_
_atom_site_label
_atom_site_fract_x
_atom_site_fract_y
_atom_site_fract_z
V1 0.1383 0.4926 0.2500
As1 0.0286 0.7028 0.2500
# DFT formation energy   0.1 eV/f.u.
# Crystal system   hexagonal
# DFT total energy   -6.85 eV/atom
# DOS(E_F)   11.68 states/eV per cell

# TmMgGe PBE relaxed
data_TmMgGe
_symmetry_space_group_name_H-M 'F -4 3 m'
_symmetry_Int_Tables_number 216
_symmetry_space_group_name_Hall 'F -4 2 3'
_cell_length_a 6.578
_cell_length_b 6.578
_cell_length_c 6.578
_cell_angle_alpha 90.00
_cell_angle_beta 90.00
_cell_angle_gamma 90.00
loop_
_atom_site_label
_atom_site_fract_x
_atom_site_fract_y
_atom_site_fract_z
Tm1 0.000 0.000 0.000
Mg1 0.000 0.000 0.500
Ge1 0.250 0.250 0.250
# DFT formation energy   -1.3 eV/f.u.
# Crystal system   cubic
# DFT total energy   -3.99 eV/atom
# DOS(E_F)   6.07 states/eV per cell

# ReMoN3 PBE relaxed
data_ReMoN3
_symmetry_space_group_name_H-M 'P -1'
_symmetry_Int_Tables_number 2
_cell_length_a 5.228
_cell_length_b 8.130
_cell_length_c 8.560
_cell_angle_alpha 69.59
_cell_angle_beta 76.65
_cell_angle_gamma 83.72
loop_
_symmetry_equiv_pos_as_xyz
'x,y,z'
'-x,-y,-z'
loop_
_atom_site_label
_atom_site_fract_x
_atom_site_fract_y
_atom_site_fract_z
Re1 0.087 0.346 0.058
Re2 0.088 0.352 0.479
Mo1 0.230 0.085 0.906
Mo2 0.245 0.765 0.193
N1 0.118 0.310 0.279
N2 0.132 0.821 0.964
N3 0.172 0.192 0.677
N4 0.266 0.570 0.429
N5 0.363 0.973 0.168
N6 0.396 0.320 0.913
# Raw formation energy   57 kJ/mol of formula units
# Crystal system   triclinic
# DFT total energy   -9.53 eV/atom
# DOS(E_F)   5.69 states/eV per cell

# Ho2TlV PBE relaxed
data_Ho2TlV
_symmetry_space_group_name_H-M 'R -3 m'
_symmetry_Int_Tables_number 166
_symmetry_space_group_name_Hall '-R 3 2"'
_cell_length_a 3.3420
_cell_length_b 3.3420
_cell_length_c 32.9711
_cell_angle_alpha 90.00
_cell_angle_beta 90.00
_cell_angle_gamma 120.00
loop_
_atom_site_label
_atom_site_fract_x
_atom_site_fract_y
_atom_site_fract_z
Ho1 0.0000 0.0000 0.0854
Tl1 0.0000 0.0000 0.5000
V1 0.0000 0.0000 0.0000
# DFT formation energy   2.1 eV/f.u.
# Crystal system   trigonal
# Polymorph energy (0 for the lowest one)   0.529 eV per atom
# DFT total energy   -4.63 eV/atom
# DOS(E_F)   15.80 states/eV per cell

# Ti3TcTe PBE relaxed
data_Ti3TcTe
_symmetry_space_group_name_H-M 'P m -3 m'
_symmetry_Int_Tables_number 221
_symmetry_space_group_name_Hall '-P 4 2 3'
_cell_length_a 4.894
_cell_length_b 4.894
_cell_length_c 4.894
_cell_angle_alpha 90.00
_cell_angle_beta 90.00
_cell_angle_gamma 90.00
loop_
_atom_site_label
_atom_site_fract_x
_atom_site_fract_y
_atom_site_fract_z
Ti1 0.000 0.000 0.500
Tc1 0.500 0.500 0.500
Te1 0.000 0.000 0.000
# Raw formation energy   565 kJ/mol of formula units
# Crystal system   cubic
# Polymorph energy (0 for the lowest one)   0.879 eV per atom
# DFT total energy   -6.27 eV/atom
# DOS(E_F)   5.55 states/eV per cell

# CrAu2Cl PBE relaxed
data_CrAu2Cl
_symmetry_space_group_name_H-M 'P 4 m m'
_symmetry_Int_Tables_number 99
_cell_length_a 3.028
_cell_length_b 3.028
_cell_length_c 8.648
_cell_angle_alpha 90.00
_cell_angle_beta 90.00
_cell_angle_gamma 90.00
loop_
_symmetry_equiv_pos_as_xyz
'x,y,z'
'-y,x,z'
'-x,-y,z'
'y,-x,z'
'-x,y,z'
'y,x,z'
'x,-y,z'
'-y,-x,z'
loop_
_atom_site_label
_atom_site_fract_x
_atom_site_fract_y
_atom_site_fract_z
Cr1 0.000 0.000 0.000
Au1 0.000 0.000 0.448
Au2 0.500 0.500 0.216
Cl1 0.500 0.500 0.829
# Raw formation energy   13 kJ/mol of formula units
# Crystal system   tetragonal
# Polymorph energy (0 for the lowest one)   0.093 eV per atom
# DFT total energy   -4.47 eV/atom
# DOS(E_F)   4.52 states/eV per cell